Record 1
SmEr2: relaxed, PBE.

Unit cell a=3.5755 b=3.5750 c=8.7971 alpha=78.19 beta=90.00 gamma=60.00
Positions (direct):
1 Er 0.7261 0.5592 0.1579
2 Er 0.2846 0.4422 0.8310
3 Sm 0.5053 0.0007 0.4944

Fermi-level density of states	3.60	states/eV/cell
energy of formation from the pure elements	-0.60	kJ per mole of atoms
M_tot	0.0	μB per formula unit
energy above the lowest structure with this stoichiometry	0.0	kJ/mol of atoms
DFT total energy	-4.62	eV per atom


Record 2
ZnPt2Rh: relaxed, PBE.

Unit cell a=9.0160 b=9.0160 c=9.0160 alpha=17.76 beta=17.76 gamma=17.76
Positions (direct):
1 Pt 0.0031 0.0031 0.0031
2 Pt 0.4969 0.4969 0.4969
3 Rh 0.2500 0.2500 0.2500
4 Zn 0.7500 0.7500 0.7500

Fermi-level density of states	2.78	states/eV/cell
energy of formation from the pure elements	-21.79	kJ per mole of atoms
M_tot	1.3	μB per formula unit
DFT total energy	-5.40	eV per atom


Record 3
LaPmDy14: relaxed, PBE.

Unit cell a=7.1503 b=7.1503 c=11.5296 alpha=90.00 beta=90.00 gamma=119.86
Positions (direct):
1 Dy 0.5413 0.4587 0.0000
2 Dy 0.8753 0.1247 0.7527
3 Dy 0.8753 0.1247 0.2473
4 Dy 0.7086 0.7920 0.5000
5 Dy 0.3753 0.6247 0.7511
6 Dy 0.2080 0.2914 0.5000
7 Dy 0.0417 0.9583 0.0000
8 Dy 0.3743 0.1249 0.7541
9 Dy 0.3753 0.6247 0.2489
10 Dy 0.8751 0.6257 0.7541
11 Dy 0.3743 0.1249 0.2459
12 Dy 0.0428 0.4583 0.0000
13 Dy 0.8751 0.6257 0.2459
14 Dy 0.5417 0.9572 0.0000
15 Pm 0.2082 0.7918 0.5000
16 La 0.7077 0.2923 0.5000

Fermi-level density of states	18.48	states/eV/cell
energy of formation from the pure elements	0.79	kJ per mole of atoms
M_tot	0.0	μB per formula unit
DFT total energy	-4.62	eV per atom


Record 4
LiLaAl2: relaxed, PBE.

Unit cell a=4.4558 b=4.4558 c=6.0803 alpha=68.50 beta=68.50 gamma=59.99
Positions (direct):
1 Li 0.7500 0.7500 0.7500
2 Al 0.4540 0.4540 0.6380
3 Al 0.0460 0.0460 0.8620
4 La 0.2500 0.2500 0.2500

Fermi-level density of states	3.15	states/eV/cell
energy of formation from the pure elements	-24.78	kJ per mole of atoms
M_tot	0.0	μB per formula unit
energy above the lowest structure with this stoichiometry	0.8	kJ/mol of atoms
DFT total energy	-3.84	eV per atom


Record 5
Sm2Al6Ag9: relaxed, PBE.

Unit cell a=5.7036 b=5.7036 c=12.7328 alpha=90.00 beta=90.00 gamma=120.00
Positions (direct):
1 Ag 0.5000 0.5000 0.5000
2 Ag 0.5000 0.0000 0.1675
3 Ag 0.0000 0.5000 0.1675
4 Ag 0.0000 0.5000 0.5000
5 Ag 0.5000 0.0000 0.8325
6 Ag 0.5000 0.0000 0.5000
7 Ag 0.5000 0.5000 0.8325
8 Ag 0.0000 0.5000 0.8325
9 Ag 0.5000 0.5000 0.1675
10 Al 0.6667 0.3333 0.3354
11 Al 0.6667 0.3333 0.0000
12 Al 0.3333 0.6667 0.0000
13 Al 0.3333 0.6667 0.6646
14 Al 0.3333 0.6667 0.3354
15 Al 0.6667 0.3333 0.6646
16 Sm 0.0000 0.0000 0.3324
17 Sm 0.0000 0.0000 0.6676

Fermi-level density of states	7.21	states/eV/cell
energy of formation from the pure elements	-9.83	kJ per mole of atoms
M_tot	0.0	μB per formula unit
DFT total energy	-3.49	eV per atom


Record 6
CaTaIr: relaxed, PBE.

Unit cell a=4.6305 b=4.6305 c=3.0849 alpha=90.00 beta=90.00 gamma=120.00
Positions (direct):
1 Ir 0.6667 0.3333 0.3936
2 Ca 0.0000 0.0000 0.0052
3 Ta 0.3333 0.6667 0.6013

Fermi-level density of states	2.44	states/eV/cell
energy of formation from the pure elements	16.61	kJ per mole of atoms
M_tot	0.0	μB per formula unit
energy above the lowest structure with this stoichiometry	58.5	kJ/mol of atoms
DFT total energy	-7.40	eV per atom